# 1
Here is a relaxed DyHoMg6 crystal from OQMD. Energies are from GGA-PBE.

Geometry as POSCAR:
```
DyHoMg6
1.0
5.075 0.000 0.000
0.000 3.635 5.447
0.000 -3.635 5.447
Mg Ho Dy
6 1 1
Direct
0.000 0.329 0.329
0.500 0.184 0.616
0.500 0.616 0.184
0.000 0.816 0.383
0.500 0.671 0.671
0.000 0.383 0.816
0.500 0.131 0.131
0.000 0.869 0.869
```

Values from the calculation:
calculated total energy = -2.37 eV/atom

***

# 2
Here is a relaxed SrHo crystal from OQMD. Energies are from GGA-PBE.

Geometry as POSCAR:
```
SrHo
1.0
4.478 1.452 3.495
-0.162 -1.375 5.697
3.542 -4.168 2.112
Sr Ho
1 1
Direct
0.250 0.250 0.250
0.000 0.000 0.000
```

Values from the calculation:
calculated total energy = -1.34 eV/atom